# Nb3TlH, relaxed, DFT PBE
# polymorph energy (0 for the lowest one): 2.7282 eV/atom
data_Nb3TlH
_cell_length_a 5.175
_cell_length_b 5.175
_cell_length_c 5.175
_cell_angle_alpha 90.00
_cell_angle_beta 90.00
_cell_angle_gamma 90.00
_symmetry_space_group_name_H-M 'P m -3 m'
_symmetry_Int_Tables_number 221
_symmetry_space_group_name_Hall '-P 4 2 3'
loop_
_atom_site_label
_atom_site_type_symbol
_atom_site_fract_x
_atom_site_fract_y
_atom_site_fract_z
_atom_site_occupancy
Nb1 Nb 0.000 0.000 0.500 1
Tl1 Tl 0.000 0.000 0.000 1
H1 H 0.500 0.500 0.500 1


# Y2MnZn2Pd5, relaxed, DFT PBE
# energy of formation from the pure elements: -0.61 eV per atom
data_Y2MnZn2Pd5
_cell_length_a 9.653
_cell_length_b 9.653
_cell_length_c 3.778
_cell_angle_alpha 90.00
_cell_angle_beta 90.00
_cell_angle_gamma 90.00
_symmetry_space_group_name_H-M 'P 4/m b m'
_symmetry_Int_Tables_number 127
_symmetry_space_group_name_Hall '-P 4 2ab'
loop_
_atom_site_label
_atom_site_type_symbol
_atom_site_fract_x
_atom_site_fract_y
_atom_site_fract_z
_atom_site_occupancy
Y1 Y 0.176 0.324 0.000 1
Mn1 Mn 0.000 0.000 0.000 1
Zn1 Zn 0.122 0.622 0.000 1
Pd1 Pd 0.000 0.500 0.500 1
Pd2 Pd 0.066 0.798 0.500 1


# Ac3Mg7Pt4, relaxed, DFT PBE
# energy of formation from the pure elements: -0.72 eV per atom
data_Ac3Mg7Pt4
_cell_length_a 16.942
_cell_length_b 4.377
_cell_length_c 10.779
_cell_angle_alpha 90.00
_cell_angle_beta 124.06
_cell_angle_gamma 90.00
_symmetry_space_group_name_H-M 'C 1 2/m 1'
_symmetry_Int_Tables_number 12
_symmetry_space_group_name_Hall '-C 2y'
loop_
_atom_site_label
_atom_site_type_symbol
_atom_site_fract_x
_atom_site_fract_y
_atom_site_fract_z
_atom_site_occupancy
Ac1 Ac 0.000 0.000 0.000 1
Ac2 Ac 0.195 0.500 0.711 1
Mg1 Mg 0.000 0.000 0.500 1
Mg2 Mg 0.013 0.500 0.295 1
Mg3 Mg 0.169 0.000 0.430 1
Mg4 Mg 0.178 0.500 0.010 1
Pt1 Pt 0.110 0.000 0.821 1
Pt2 Pt 0.161 0.500 0.261 1


# LiSmHoS3, relaxed, DFT PBE
# uncorrected formation energy: -1820 meV/atom
data_LiSmHoS3
_cell_length_a 8.063
_cell_length_b 3.831
_cell_length_c 8.388
_cell_angle_alpha 90.00
_cell_angle_beta 102.51
_cell_angle_gamma 90.00
_symmetry_space_group_name_H-M 'P 1 21/m 1'
_symmetry_Int_Tables_number 11
_symmetry_space_group_name_Hall '-P 2yb'
loop_
_atom_site_label
_atom_site_type_symbol
_atom_site_fract_x
_atom_site_fract_y
_atom_site_fract_z
_atom_site_occupancy
Li1 Li 0.087 0.250 0.084 1
Sm1 Sm 0.187 0.250 0.721 1
Ho1 Ho 0.337 0.750 0.334 1
S1 S 0.097 0.250 0.368 1
S2 S 0.216 0.750 0.997 1
S3 S 0.428 0.750 0.671 1


# LiPrSmTh, relaxed, DFT PBE
# energy of formation from the pure elements: 0.27 eV per atom
data_LiPrSmTh
_cell_length_a 7.932
_cell_length_b 7.932
_cell_length_c 7.932
_cell_angle_alpha 90.00
_cell_angle_beta 90.00
_cell_angle_gamma 90.00
_symmetry_space_group_name_H-M 'F -4 3 m'
_symmetry_Int_Tables_number 216
_symmetry_space_group_name_Hall 'F -4 2 3'
loop_
_atom_site_label
_atom_site_type_symbol
_atom_site_fract_x
_atom_site_fract_y
_atom_site_fract_z
_atom_site_occupancy
Li1 Li 0.000 0.000 0.000 1
Pr1 Pr 0.250 0.250 0.750 1
Sm1 Sm 0.250 0.250 0.250 1
Th1 Th 0.000 0.000 0.500 1


# LiGdZnBi, relaxed, DFT PBE
# energy of formation from the pure elements: -0.37 eV per atom
data_LiGdZnBi
_cell_length_a 7.288
_cell_length_b 7.288
_cell_length_c 7.288
_cell_angle_alpha 90.00
_cell_angle_beta 90.00
_cell_angle_gamma 90.00
_symmetry_space_group_name_H-M 'F -4 3 m'
_symmetry_Int_Tables_number 216
_symmetry_space_group_name_Hall 'F -4 2 3'
loop_
_atom_site_label
_atom_site_type_symbol
_atom_site_fract_x
_atom_site_fract_y
_atom_site_fract_z
_atom_site_occupancy
Li1 Li 0.000 0.000 0.000 1
Gd1 Gd 0.000 0.000 0.500 1
Zn1 Zn 0.250 0.250 0.750 1
Bi1 Bi 0.250 0.250 0.250 1


# Np2Zn2Rh3, relaxed, DFT PBE
# energy of formation from the pure elements: -0.28 eV per atom
data_Np2Zn2Rh3
_cell_length_a 5.432
_cell_length_b 6.689
_cell_length_c 7.066
_cell_angle_alpha 90.00
_cell_angle_beta 95.88
_cell_angle_gamma 90.00
_symmetry_space_group_name_H-M 'P 1 21/c 1'
_symmetry_Int_Tables_number 14
_symmetry_space_group_name_Hall '-P 2ybc'
loop_
_atom_site_label
_atom_site_type_symbol
_atom_site_fract_x
_atom_site_fract_y
_atom_site_fract_z
_atom_site_occupancy
Np1 Np 0.136 0.119 0.167 1
Zn1 Zn 0.410 0.688 0.995 1
Rh1 Rh 0.000 0.000 0.500 1
Rh2 Rh 0.363 0.027 0.809 1


# VReAsSe2, relaxed, DFT PBE
# uncorrected formation energy: 1029 meV/atom
# polymorph energy (0 for the lowest one): 0.0000 eV/atom
data_VReAsSe2
_cell_length_a 4.721
_cell_length_b 4.721
_cell_length_c 4.887
_cell_angle_alpha 90.00
_cell_angle_beta 90.00
_cell_angle_gamma 90.00
_symmetry_space_group_name_H-M 'P 4/m m m'
_symmetry_Int_Tables_number 123
_symmetry_space_group_name_Hall '-P 4 2'
loop_
_atom_site_label
_atom_site_type_symbol
_atom_site_fract_x
_atom_site_fract_y
_atom_site_fract_z
_atom_site_occupancy
V1 V 0.000 0.000 0.000 1
Re1 Re 0.500 0.500 0.500 1
As1 As 0.000 0.000 0.500 1
Se1 Se 0.000 0.500 0.000 1


# NpTeAu2, relaxed, DFT PBE
# uncorrected formation energy: -125 meV/atom
data_NpTeAu2
_cell_length_a 7.207
_cell_length_b 7.207
_cell_length_c 7.207
_cell_angle_alpha 90.00
_cell_angle_beta 90.00
_cell_angle_gamma 90.00
_symmetry_space_group_name_H-M 'F m -3 m'
_symmetry_Int_Tables_number 225
_symmetry_space_group_name_Hall '-F 4 2 3'
loop_
_atom_site_label
_atom_site_type_symbol
_atom_site_fract_x
_atom_site_fract_y
_atom_site_fract_z
_atom_site_occupancy
Np1 Np 0.000 0.000 0.000 1
Te1 Te 0.000 0.000 0.500 1
Au1 Au 0.250 0.250 0.250 1


# RbSrLiRu2, relaxed, DFT PBE
# energy of formation from the pure elements: 1.20 eV per atom
data_RbSrLiRu2
_cell_length_a 4.683
_cell_length_b 4.683
_cell_length_c 5.387
_cell_angle_alpha 90.00
_cell_angle_beta 90.00
_cell_angle_gamma 90.00
_symmetry_space_group_name_H-M 'P 4/m m m'
_symmetry_Int_Tables_number 123
_symmetry_space_group_name_Hall '-P 4 2'
loop_
_atom_site_label
_atom_site_type_symbol
_atom_site_fract_x
_atom_site_fract_y
_atom_site_fract_z
_atom_site_occupancy
Rb1 Rb 0.000 0.000 0.000 1
Sr1 Sr 0.500 0.500 0.000 1
Li1 Li 0.500 0.500 0.500 1
Ru1 Ru 0.000 0.500 0.500 1


# HfZrCdCu, relaxed, DFT PBE
# energy of formation from the pure elements: -0.06 eV per atom
data_HfZrCdCu
_cell_length_a 3.108
_cell_length_b 3.108
_cell_length_c 8.026
_cell_angle_alpha 90.00
_cell_angle_beta 90.00
_cell_angle_gamma 90.00
_symmetry_space_group_name_H-M 'P 4 m m'
_symmetry_Int_Tables_number 99
_symmetry_space_group_name_Hall 'P 4 -2'
loop_
_atom_site_label
_atom_site_type_symbol
_atom_site_fract_x
_atom_site_fract_y
_atom_site_fract_z
_atom_site_occupancy
Hf1 Hf 0.000 0.000 0.000 1
Zr1 Zr 0.000 0.000 0.443 1
Cd1 Cd 0.500 0.500 0.724 1
Cu1 Cu 0.500 0.500 0.214 1


# CePmHgAu, relaxed, DFT PBE
# polymorph energy (0 for the lowest one): 0.0225 eV/atom
# energy of formation from the pure elements: -0.51 eV per atom
data_CePmHgAu
_cell_length_a 7.516
_cell_length_b 7.516
_cell_length_c 7.516
_cell_angle_alpha 90.00
_cell_angle_beta 90.00
_cell_angle_gamma 90.00
_symmetry_space_group_name_H-M 'F -4 3 m'
_symmetry_Int_Tables_number 216
_symmetry_space_group_name_Hall 'F -4 2 3'
loop_
_atom_site_label
_atom_site_type_symbol
_atom_site_fract_x
_atom_site_fract_y
_atom_site_fract_z
_atom_site_occupancy
Ce1 Ce 0.000 0.000 0.000 1
Pm1 Pm 0.000 0.000 0.500 1
Hg1 Hg 0.250 0.250 0.250 1
Au1 Au 0.250 0.250 0.750 1


Number 1: total magnetization 0.000 μB per formula unit. Number 2: total magnetization 4.003 μB per formula unit. Number 3: total magnetization 0.000 μB per formula unit. Number 4: total magnetization 0.000 μB per formula unit. Number 5: total magnetization 0.020 μB per formula unit. Number 6: total magnetization 6.958 μB per formula unit. Number 7: total magnetization 7.194 μB per formula unit. Number 8: total magnetization 4.670 μB per formula unit. Number 9: total magnetization 4.104 μB per formula unit. Number 10: total magnetization 2.308 μB per formula unit. Number 11: total magnetization 0.002 μB per formula unit. Number 12: total magnetization 1.177 μB per formula unit.